#a
# PBE Al2RhN2, optimized geometry
# Volume = 107.3 Å³ per cell
# Total magnetization = 0.00 μB per formula unit
data_Al2RhN2
_chemical_formula_sum 'Al4 Rh2 N4'
_cell_length_a 6.227
_cell_length_b 6.227
_cell_length_c 2.767
_cell_angle_alpha 90.00
_cell_angle_beta 90.00
_cell_angle_gamma 90.00
_symmetry_space_group_name_H-M 'P 1'
_symmetry_Int_Tables_number 1
loop_
_symmetry_equiv_pos_as_xyz
'x,y,z'
loop_
_atom_site_label
_atom_site_fract_x
_atom_site_fract_y
_atom_site_fract_z
Al1 0.151 0.349 0.000
Al2 0.349 0.849 0.000
Al3 0.651 0.151 0.000
Al4 0.849 0.651 0.000
Rh1 0.000 0.000 0.000
Rh2 0.500 0.500 0.000
N1 0.157 0.657 0.500
N2 0.343 0.157 0.500
N3 0.657 0.843 0.500
N4 0.843 0.343 0.500

***

#b
# PBE Al2RhN2, optimized geometry
# Volume = 55.4 Å³ per cell
# Total magnetization = 0.00 μB per formula unit
data_Al2RhN2
_chemical_formula_sum 'Al2 Rh1 N2'
_cell_length_a 6.351
_cell_length_b 6.351
_cell_length_c 6.351
_cell_angle_alpha 152.27
_cell_angle_beta 152.27
_cell_angle_gamma 39.62
_symmetry_space_group_name_H-M 'P 1'
_symmetry_Int_Tables_number 1
loop_
_symmetry_equiv_pos_as_xyz
'x,y,z'
loop_
_atom_site_label
_atom_site_fract_x
_atom_site_fract_y
_atom_site_fract_z
Al1 0.138 0.138 0.000
Al2 0.862 0.862 0.000
Rh1 0.500 0.500 0.000
N1 0.250 0.750 0.500
N2 0.750 0.250 0.500

***

Which of them is the most stable, and which is the least stable? #b and #a, in that order.

***

#a
# PBE AlRhSN2, optimized geometry
# Volume = 74.6 Å³ per cell
# Total magnetization = 0.45 μB per formula unit
data_AlRhSN2
_chemical_formula_sum 'Al1 Rh1 S1 N2'
_cell_length_a 3.780
_cell_length_b 3.780
_cell_length_c 5.220
_cell_angle_alpha 90.00
_cell_angle_beta 90.00
_cell_angle_gamma 90.00
_symmetry_space_group_name_H-M 'P 1'
_symmetry_Int_Tables_number 1
loop_
_symmetry_equiv_pos_as_xyz
'x,y,z'
loop_
_atom_site_label
_atom_site_fract_x
_atom_site_fract_y
_atom_site_fract_z
Al1 0.000 0.000 0.000
Rh1 0.500 0.500 0.500
S1 0.500 0.500 0.000
N1 0.000 0.500 0.500
N2 0.500 0.000 0.500

***

#b
# PBE AlRhSN2, optimized geometry
# Volume = 65.6 Å³ per cell
# Total magnetization = 1.44 μB per formula unit
data_AlRhSN2
_chemical_formula_sum 'Al1 Rh1 S1 N2'
_cell_length_a 3.659
_cell_length_b 3.659
_cell_length_c 4.899
_cell_angle_alpha 90.00
_cell_angle_beta 90.00
_cell_angle_gamma 90.00
_symmetry_space_group_name_H-M 'P 1'
_symmetry_Int_Tables_number 1
loop_
_symmetry_equiv_pos_as_xyz
'x,y,z'
loop_
_atom_site_label
_atom_site_fract_x
_atom_site_fract_y
_atom_site_fract_z
Al1 0.000 0.000 0.000
Rh1 0.500 0.500 0.500
S1 0.000 0.000 0.500
N1 0.000 0.500 0.000
N2 0.500 0.000 0.000

***

Which of them is the most stable, and which is the least stable? #b and #a, in that order.

***

#a
# PBE AlTeRhN2, optimized geometry
# Volume = 86.3 Å³ per cell
# Total magnetization = 0.17 μB per formula unit
data_AlTeRhN2
_chemical_formula_sum 'Al1 Te1 Rh1 N2'
_cell_length_a 3.895
_cell_length_b 3.895
_cell_length_c 5.687
_cell_angle_alpha 90.00
_cell_angle_beta 90.00
_cell_angle_gamma 90.00
_symmetry_space_group_name_H-M 'P 1'
_symmetry_Int_Tables_number 1
loop_
_symmetry_equiv_pos_as_xyz
'x,y,z'
loop_
_atom_site_label
_atom_site_fract_x
_atom_site_fract_y
_atom_site_fract_z
Al1 0.000 0.000 0.000
Te1 0.500 0.500 0.000
Rh1 0.500 0.500 0.500
N1 0.000 0.500 0.500
N2 0.500 0.000 0.500

***

#b
# PBE AlTeRhN2, optimized geometry
# Volume = 88.4 Å³ per cell
# Total magnetization = 1.40 μB per formula unit
data_AlTeRhN2
_chemical_formula_sum 'Al1 Te1 Rh1 N2'
_cell_length_a 3.697
_cell_length_b 3.697
_cell_length_c 6.470
_cell_angle_alpha 90.00
_cell_angle_beta 90.00
_cell_angle_gamma 90.00
_symmetry_space_group_name_H-M 'P 1'
_symmetry_Int_Tables_number 1
loop_
_symmetry_equiv_pos_as_xyz
'x,y,z'
loop_
_atom_site_label
_atom_site_fract_x
_atom_site_fract_y
_atom_site_fract_z
Al1 0.000 0.000 0.000
Te1 0.000 0.000 0.500
Rh1 0.500 0.500 0.500
N1 0.000 0.500 0.000
N2 0.500 0.000 0.000

***

Which of them is the most stable, and which is the least stable? #b and #a, in that order.